# GGA-PBE Pu3Se2S, optimized geometry
# Magnetization   17.19 μB/f.u.
# N(E_F)   52.44 states/eV per cell
# Symmetry   C2/c (15)
# Crystal system   monoclinic
# Energy relative to the elements, uncorrected   -1.59 eV/atom
data_Pu3Se2S
_chemical_formula_sum 'Pu6 Se4 S2'
_space_group_name_H-M_alt 'P 1'
_space_group_IT_number 1
_space_group_name_Hall 'P 1'
_cell_length_a 7.097
_cell_length_b 7.097
_cell_length_c 7.087
_cell_angle_alpha 99.61
_cell_angle_beta 99.61
_cell_angle_gamma 120.09
loop_
_atom_site_label
_atom_site_type_symbol
_atom_site_fract_x
_atom_site_fract_y
_atom_site_fract_z
Pu1 Pu 0.000 0.500 0.000
Pu2 Pu 0.156 0.314 0.498
Pu3 Pu 0.314 0.156 0.998
Pu4 Pu 0.500 0.000 0.500
Pu5 Pu 0.686 0.844 0.002
Pu6 Pu 0.844 0.686 0.502
Se1 Se 0.254 0.746 0.750
Se2 Se 0.417 0.583 0.250
Se3 Se 0.583 0.417 0.750
Se4 Se 0.746 0.254 0.250
S1 S 0.087 0.913 0.250
S2 S 0.913 0.087 0.750